Record 1
VASP calculation (PBE) on a geometry-optimized GaPNF2 structure.

Output
SG: P4/mmm (123)
E above lowest polymorph (eV per atom): 0.280
Total magnetic moment (μB/atom): 0.196
V (Å³/cell): 60.4

Lattice parameters (Å, degrees): 3.7896 3.7896 4.2026 90.00 90.00 90.00
Fractional coordinates of all 5 atoms:
F 0.0000 0.5000 0.0000
F 0.5000 0.0000 0.0000
Ga 0.0000 0.0000 0.0000
N 0.0000 0.0000 0.5000
P 0.5000 0.5000 0.5000

Record 2
VASP calculation (PBE) on a geometry-optimized GaPbN2F structure.

Output
SG: P4/mmm (123)
E above lowest polymorph (eV per atom): 0.724
Total magnetic moment (μB/atom): 0.434
V (Å³/cell): 88.8

Lattice parameters (Å, degrees): 4.4178 4.4178 4.5498 90.00 90.00 90.00
Fractional coordinates of all 5 atoms:
Ga 0.5000 0.5000 0.5000
N 0.5000 0.0000 0.0000
N 0.0000 0.5000 0.0000
F 0.0000 0.0000 0.5000
Pb 0.0000 0.0000 0.0000

Record 3
VASP calculation (PBE) on a geometry-optimized GaPbN2F structure.

Output
SG: P4/mmm (123)
E above lowest polymorph (eV per atom): 0.000
Total magnetic moment (μB/atom): 0.285
V (Å³/cell): 66.6

Lattice parameters (Å, degrees): 3.9800 3.9800 4.2037 90.00 90.00 90.00
Fractional coordinates of all 5 atoms:
F 0.0000 0.0000 0.5000
Pb 0.5000 0.5000 0.5000
Ga 0.0000 0.0000 0.0000
N 0.5000 0.0000 0.0000
N 0.0000 0.5000 0.0000

Record 4
VASP calculation (PBE) on a geometry-optimized RbGaN2F structure.

Output
SG: P4/mmm (123)
E above lowest polymorph (eV per atom): 0.000
Total magnetic moment (μB/atom): 0.600
V (Å³/cell): 75.8

Lattice parameters (Å, degrees): 4.0186 4.0186 4.6937 90.00 90.00 90.00
Fractional coordinates of all 5 atoms:
Rb 0.5000 0.5000 0.5000
F 0.0000 0.0000 0.5000
N 0.0000 0.5000 0.0000
N 0.5000 0.0000 0.0000
Ga 0.0000 0.0000 0.0000

Record 5
VASP calculation (PBE) on a geometry-optimized Rb2GaNF6 structure.

Output
SG: I4/mmm (139)
Total magnetic moment (μB/atom): 0.000
V (Å³/cell): 155.4

Lattice parameters (Å, degrees): 5.5249 5.5249 6.4173 64.50 64.50 90.00
Fractional coordinates of all 10 atoms:
N 0.5000 0.5000 0.0000
F 0.2521 0.7479 0.0000
F 0.2521 0.2521 0.0000
F 0.8172 0.8172 0.3657
F 0.7479 0.7479 0.0000
F 0.1828 0.1828 0.6343
F 0.7479 0.2521 0.0000
Ga 0.0000 0.0000 0.0000
Rb 0.2500 0.7500 0.5000
Rb 0.7500 0.2500 0.5000

Record 6
VASP calculation (PBE) on a geometry-optimized RbGaNF2 structure.

Output
SG: P4/mmm (123)
E above lowest polymorph (eV per atom): 1.232
Total magnetic moment (μB/atom): 0.606
V (Å³/cell): 143.7

Lattice parameters (Å, degrees): 5.2281 5.2281 5.2556 90.00 90.00 90.00
Fractional coordinates of all 5 atoms:
F 0.5000 0.0000 0.0000
F 0.0000 0.5000 0.0000
N 0.0000 0.0000 0.5000
Rb 0.0000 0.0000 0.0000
Ga 0.5000 0.5000 0.5000

Record 7
VASP calculation (PBE) on a geometry-optimized RbGaNF2 structure.

Output
SG: P4/mmm (123)
E above lowest polymorph (eV per atom): 0.000
Total magnetic moment (μB/atom): 0.200
V (Å³/cell): 73.0

Lattice parameters (Å, degrees): 4.4286 4.4286 3.7216 90.00 90.00 90.00
Fractional coordinates of all 5 atoms:
F 0.5000 0.0000 0.0000
F 0.0000 0.5000 0.0000
Ga 0.0000 0.0000 0.0000
N 0.0000 0.0000 0.5000
Rb 0.5000 0.5000 0.5000

Record 8
VASP calculation (PBE) on a geometry-optimized RbGaN2F structure.

Output
SG: P4/mmm (123)
E above lowest polymorph (eV per atom): 1.263
Total magnetic moment (μB/atom): 1.000
V (Å³/cell): 151.6

Lattice parameters (Å, degrees): 5.4704 5.0660 5.4704 90.00 90.00 90.00
Fractional coordinates of all 5 atoms:
N 0.5000 0.0000 0.0000
N 0.0000 0.0000 0.5000
Rb 0.0000 0.0000 0.0000
Ga 0.5000 0.5000 0.5000
F 0.0000 0.5000 0.0000

For each record above, in turn, the calculated energy relative to the elements, uncorrected values are -335, 796, 72, 26, -1729, -102, -1334, 1289 meV per atom.